# 1
! Ce3SiTc, relaxed, DFT PBE; values from VASP
&SYSTEM
  ibrav = 0, nat = 10, ntyp = 3
/
ATOMIC_SPECIES
Ce 140.12 Ce.upf
Si 28.09 Si.upf
Tc 98.00 Tc.upf
CELL_PARAMETERS angstrom
4.2208 -0.1272 0.0127
-2.2079 8.9021 1.5120
0.0741 -0.3582 6.0507
ATOMIC_POSITIONS crystal
Ce 0.3644 0.7545 0.0898
Ce 0.9730 0.9476 0.2234
Ce 0.2194 0.3802 0.3439
Ce 0.6356 0.2455 0.9102
Ce 0.7806 0.6198 0.6561
Ce 0.0270 0.0524 0.7766
Si 0.4201 0.8660 0.5745
Si 0.5799 0.1340 0.4255
Tc 0.7413 0.5549 0.1627
Tc 0.2587 0.4451 0.8373
! - formation energy (no corrections) (kcal/mol of atoms) = -6.73
! - volume (Å³/f.u.) = 114
! - size of the total moment (μB/f.u.) = 0.00
! - theoretical density (Mg/m³) = 8.0

# 2
! La5Nd2Y3, relaxed, DFT PBE; values from VASP
&SYSTEM
  ibrav = 0, nat = 20, ntyp = 3
/
ATOMIC_SPECIES
Y 88.91 Y.upf
Nd 144.24 Nd.upf
La 138.91 La.upf
CELL_PARAMETERS angstrom
9.0909 2.0697 -4.4007
0.5456 9.2561 -4.4349
-2.3934 -2.7493 10.7972
ATOMIC_POSITIONS crystal
Y 0.9750 0.2224 0.7518
Y 0.7232 0.4706 0.2482
Y 0.2333 0.9833 0.9666
Y 0.0250 0.7776 0.2482
Y 0.2768 0.5294 0.7518
Y 0.7667 0.0167 0.0334
Nd 0.7829 0.0346 0.7537
Nd 0.5292 0.2808 0.2463
Nd 0.4708 0.7192 0.7537
Nd 0.2171 0.9654 0.2463
La 0.2782 0.5282 0.0563
La 0.1160 0.3723 0.2421
La 0.7218 0.4718 0.9437
La 0.5130 0.2630 0.5259
La 0.3739 0.1302 0.7579
La 0.6261 0.8698 0.2421
La 0.4870 0.7370 0.4741
La 0.9746 0.2246 0.4492
La 0.0254 0.7754 0.5508
La 0.8840 0.6277 0.7579
! - DFT formation energy (eV/atom) = 0.1576
! - volume (Å³/f.u.) = 358
! - size of the total moment (μB/f.u.) = 0.00
! - theoretical density (Mg/m³) = 5.8

# 3
! KIn6Hg12, relaxed, DFT PBE; values from VASP
&SYSTEM
  ibrav = 0, nat = 19, ntyp = 3
/
ATOMIC_SPECIES
Hg 200.59 Hg.upf
K 39.10 K.upf
In 114.82 In.upf
CELL_PARAMETERS angstrom
7.9524 0.0000 2.5494
-3.9423 7.3278 3.1789
0.0677 0.0000 8.9073
ATOMIC_POSITIONS crystal
Hg 0.2108 0.7261 0.1198
Hg 0.8149 0.9275 0.4460
Hg 0.3306 0.1198 0.1540
Hg 0.5154 0.8460 0.2739
Hg 0.7391 0.5540 0.3735
Hg 0.2609 0.4460 0.6265
Hg 0.6694 0.8802 0.8460
Hg 0.1126 0.3735 0.0725
Hg 0.1851 0.0725 0.5540
Hg 0.4846 0.1540 0.7261
Hg 0.7892 0.2739 0.8802
Hg 0.8874 0.6265 0.9275
K 0.0000 0.0000 0.0000
In 0.3365 0.7901 0.7031
In 0.6635 0.2099 0.2969
In 0.4536 0.4933 0.2099
In 0.9604 0.2969 0.4933
In 0.0396 0.7031 0.5067
In 0.5464 0.5067 0.7901
! - DFT formation energy (eV/atom) = -0.0432
! - volume (Å³/f.u.) = 518
! - size of the total moment (μB/f.u.) = 0.00
! - distance to the lowest polymorph of the same formula (eV per formula unit) = 0.00
! - theoretical density (Mg/m³) = 10.1

# 4
! Sr2Fe, relaxed, DFT PBE; values from VASP
&SYSTEM
  ibrav = 0, nat = 12, ntyp = 2
/
ATOMIC_SPECIES
Sr 87.62 Sr.upf
Fe 55.84 Fe.upf
CELL_PARAMETERS angstrom
4.0590 0.0000 0.0000
0.0000 9.1431 0.0000
0.0000 0.0000 11.3124
ATOMIC_POSITIONS crystal
Sr 0.7500 0.5177 0.3256
Sr 0.2500 0.4823 0.6744
Sr 0.2500 0.1643 0.4456
Sr 0.2500 0.9823 0.8256
Sr 0.7500 0.3357 0.9456
Sr 0.2500 0.6643 0.0544
Sr 0.7500 0.8357 0.5544
Sr 0.7500 0.0177 0.1744
Fe 0.2500 0.8147 0.3293
Fe 0.7500 0.6853 0.8293
Fe 0.7500 0.1853 0.6707
Fe 0.2500 0.3147 0.1707
! - DFT formation energy (eV/atom) = 0.5651
! - volume (Å³/f.u.) = 105
! - size of the total moment (μB/f.u.) = 2.22
! - theoretical density (Mg/m³) = 3.7

# 5
! Al4ReNi, relaxed, DFT PBE; values from VASP
&SYSTEM
  ibrav = 0, nat = 6, ntyp = 3
/
ATOMIC_SPECIES
Al 26.98 Al.upf
Re 186.21 Re.upf
Ni 58.69 Ni.upf
CELL_PARAMETERS angstrom
0.0000 3.5012 3.5012
3.5012 0.0000 3.5012
3.5012 3.5012 0.0000
ATOMIC_POSITIONS crystal
Al 0.3753 0.3753 0.3753
Al 0.8741 0.3753 0.3753
Al 0.3753 0.8741 0.3753
Al 0.3753 0.3753 0.8741
Re 0.0000 0.0000 0.0000
Ni 0.7500 0.7500 0.7500
! - DFT formation energy (eV/atom) = 0.1653
! - volume (Å³/f.u.) = 86
! - size of the total moment (μB/f.u.) = 0.51
! - theoretical density (Mg/m³) = 6.8

# 6
! MnCrCu2, relaxed, DFT PBE; values from VASP
&SYSTEM
  ibrav = 0, nat = 4, ntyp = 3
/
ATOMIC_SPECIES
Cr 52.00 Cr.upf
Cu 63.55 Cu.upf
Mn 54.94 Mn.upf
CELL_PARAMETERS angstrom
-1.4123 1.9914 0.4576
-0.2869 -0.7440 2.3524
6.2843 3.9906 2.0287
ATOMIC_POSITIONS crystal
Cr 0.5000 0.5000 0.7485
Cu 0.5000 0.5000 0.2494
Cu 0.0000 0.0000 0.0010
Mn 0.0000 0.0000 0.5011
! - DFT formation energy (eV/atom) = 0.2023
! - volume (Å³/f.u.) = 48
! - size of the total moment (μB/f.u.) = 2.34
! - theoretical density (Mg/m³) = 8.2

# 7
! CeCo2SiB, relaxed, DFT PBE; values from VASP
&SYSTEM
  ibrav = 0, nat = 5, ntyp = 4
/
ATOMIC_SPECIES
Ce 140.12 Ce.upf
B 10.81 B.upf
Si 28.09 Si.upf
Co 58.93 Co.upf
CELL_PARAMETERS angstrom
-1.5503 0.9662 3.2374
-2.9200 -2.1748 -0.7493
0.0285 -4.4084 3.4635
ATOMIC_POSITIONS crystal
Ce 0.9879 0.9879 0.0243
B 0.3515 0.3515 0.2970
Si 0.6336 0.6336 0.7328
Co 0.7635 0.2635 0.4729
Co 0.2635 0.7635 0.4729
! - formation energy (no corrections) (kcal/mol of atoms) = -13.26
! - volume (Å³/f.u.) = 68
! - size of the total moment (μB/f.u.) = 0.00
! - theoretical density (Mg/m³) = 7.2

# 8
! Pr3SmHg12, relaxed, DFT PBE; values from VASP
&SYSTEM
  ibrav = 0, nat = 16, ntyp = 3
/
ATOMIC_SPECIES
Hg 200.59 Hg.upf
Pr 140.91 Pr.upf
Sm 150.36 Sm.upf
CELL_PARAMETERS angstrom
-3.8601 -2.6551 -0.2266
2.5911 -3.8329 0.7717
-2.5289 2.0730 18.7878
ATOMIC_POSITIONS crystal
Hg 0.5000 0.5000 0.7518
Hg 0.5000 0.5000 0.5000
Hg 0.5000 0.0000 0.1226
Hg 0.5000 0.0000 0.8774
Hg 0.0000 0.5000 0.8774
Hg 0.5000 0.5000 0.2482
Hg 0.5000 0.0000 0.6258
Hg 0.0000 0.5000 0.3742
Hg 0.5000 0.5000 0.0000
Hg 0.0000 0.5000 0.1226
Hg 0.5000 0.0000 0.3742
Hg 0.0000 0.5000 0.6258
Pr 0.0000 0.0000 0.7519
Pr 0.0000 0.0000 0.5000
Pr 0.0000 0.0000 0.2481
Sm 0.0000 0.0000 0.0000
! - DFT formation energy (eV/atom) = -0.3499
! - volume (Å³/f.u.) = 420
! - size of the total moment (μB/f.u.) = 0.00
! - theoretical density (Mg/m³) = 11.8

# 9
! Sm2Al3Cu4, relaxed, DFT PBE; values from VASP
&SYSTEM
  ibrav = 0, nat = 18, ntyp = 3
/
ATOMIC_SPECIES
Al 26.98 Al.upf
Cu 63.55 Cu.upf
Sm 150.36 Sm.upf
CELL_PARAMETERS angstrom
-2.4091 5.1665 -1.4142
1.3409 -1.2177 -6.7328
-5.7397 -6.0293 -0.0526
ATOMIC_POSITIONS crystal
Al 0.9856 0.2500 0.4713
Al 0.0144 0.7500 0.5287
Al 0.4856 0.2500 0.4713
Al 0.5000 0.5000 0.0000
Al 0.0000 0.0000 0.0000
Al 0.5144 0.7500 0.5287
Cu 0.6827 0.7500 0.8653
Cu 0.6681 0.5024 0.3363
Cu 0.3173 0.2500 0.1347
Cu 0.8173 0.2500 0.1347
Cu 0.1681 0.9976 0.3363
Cu 0.3319 0.4976 0.6637
Cu 0.1827 0.7500 0.8653
Cu 0.8319 0.0024 0.6637
Sm 0.3930 0.0896 0.7860
Sm 0.8930 0.4104 0.7860
Sm 0.6070 0.9104 0.2140
Sm 0.1070 0.5896 0.2140
! - DFT formation energy (eV/atom) = -0.3162
! - volume (Å³/f.u.) = 159
! - size of the total moment (μB/f.u.) = 0.00
! - theoretical density (Mg/m³) = 6.6

# 10
! Rb2CaH, relaxed, DFT PBE; values from VASP
&SYSTEM
  ibrav = 0, nat = 4, ntyp = 3
/
ATOMIC_SPECIES
H 1.01 H.upf
Rb 85.47 Rb.upf
Ca 40.08 Ca.upf
CELL_PARAMETERS angstrom
1.7584 -5.3151 -3.6534
3.7680 -4.8153 2.7027
-2.6649 -5.9885 1.3135
ATOMIC_POSITIONS crystal
H 0.0000 0.0000 0.0000
Rb 0.2500 0.2500 0.2500
Rb 0.7500 0.7500 0.7500
Ca 0.5000 0.5000 0.5000
! - volume (Å³/f.u.) = 211
! - size of the total moment (μB/f.u.) = 0.00
! - distance to the lowest polymorph of the same formula (eV per formula unit) = 1.36
! - theoretical density (Mg/m³) = 1.7

# 11
! SrYSb, relaxed, DFT PBE; values from VASP
&SYSTEM
  ibrav = 0, nat = 3, ntyp = 3
/
ATOMIC_SPECIES
Sr 87.62 Sr.upf
Sb 121.76 Sb.upf
Y 88.91 Y.upf
CELL_PARAMETERS angstrom
5.1336 0.0000 0.0000
-2.5668 4.4458 0.0000
0.0000 0.0000 4.7469
ATOMIC_POSITIONS crystal
Sr 0.6667 0.3333 0.3102
Sb 0.0000 0.0000 0.8866
Y 0.3333 0.6667 0.8032
! - formation energy (no corrections) (kcal/mol of atoms) = -12.05
! - volume (Å³/f.u.) = 108
! - size of the total moment (μB/f.u.) = 0.00
! - theoretical density (Mg/m³) = 4.6

# 12
! Rb2PdPtBr6, relaxed, DFT PBE; values from VASP
&SYSTEM
  ibrav = 0, nat = 10, ntyp = 4
/
ATOMIC_SPECIES
Br 79.90 Br.upf
Rb 85.47 Rb.upf
Pt 195.08 Pt.upf
Pd 106.42 Pd.upf
CELL_PARAMETERS angstrom
7.4614 0.0000 0.0000
0.0000 7.4614 0.0000
3.7307 3.7307 5.3025
ATOMIC_POSITIONS crystal
Br 0.7527 0.7527 0.0000
Br 0.7554 0.7554 0.4891
Br 0.2446 0.2446 0.5109
Br 0.2473 0.7527 0.0000
Br 0.7527 0.2473 0.0000
Br 0.2473 0.2473 0.0000
Rb 0.7500 0.2500 0.5000
Rb 0.2500 0.7500 0.5000
Pt 0.0000 0.0000 0.0000
Pd 0.5000 0.5000 0.0000
! - formation energy (no corrections) (kcal/mol of atoms) = -19.37
! - volume (Å³/f.u.) = 295
! - size of the total moment (μB/f.u.) = 0.00
! - distance to the lowest polymorph of the same formula (eV per formula unit) = 0.00
! - theoretical density (Mg/m³) = 5.4

# 13
! Zn3Ga12Se5, relaxed, DFT PBE; values from VASP
&SYSTEM
  ibrav = 0, nat = 80, ntyp = 3
/
ATOMIC_SPECIES
Ga 69.72 Ga.upf
Se 78.96 Se.upf
Zn 65.41 Zn.upf
CELL_PARAMETERS angstrom
-2.7384 8.6762 9.8891
-2.8754 -12.4805 4.0670
13.0352 0.7873 -3.1676
ATOMIC_POSITIONS crystal
Ga 0.9287 0.5714 0.1657
Ga 0.5944 0.8573 0.4286
Ga 0.2371 0.6657 0.0944
Ga 0.0944 0.9286 0.3573
Ga 0.8343 0.9056 0.2629
Ga 0.8343 0.9286 0.0713
Ga 0.4287 0.7629 0.8573
Ga 0.6657 0.4287 0.5714
Ga 0.1427 0.7371 0.5713
Ga 0.9056 0.8343 0.7629
Ga 0.5713 0.3343 0.9286
Ga 0.9056 0.0714 0.6427
Ga 0.5714 0.9287 0.6657
Ga 0.2371 0.5713 0.6427
Ga 0.0713 0.6427 0.7371
Ga 0.7371 0.5944 0.1657
Ga 0.5713 0.2371 0.1427
Ga 0.5714 0.6427 0.4056
Ga 0.4286 0.3573 0.5944
Ga 0.9286 0.0944 0.8573
Ga 0.7629 0.4287 0.3573
Ga 0.3343 0.7629 0.4056
Ga 0.9286 0.8343 0.5713
Ga 0.1427 0.4056 0.0714
Ga 0.6427 0.0713 0.2371
Ga 0.1657 0.0714 0.9287
Ga 0.3343 0.5713 0.4286
Ga 0.5944 0.7371 0.6657
Ga 0.8573 0.5944 0.9286
Ga 0.1657 0.0944 0.7371
Ga 0.4286 0.0713 0.3343
Ga 0.0714 0.9056 0.1427
Ga 0.0713 0.4286 0.8343
Ga 0.7629 0.3343 0.9056
Ga 0.6427 0.5714 0.9056
Ga 0.3573 0.9287 0.7629
Ga 0.0714 0.1657 0.4287
Ga 0.6657 0.2371 0.5944
Ga 0.2629 0.8573 0.9287
Ga 0.9287 0.3573 0.2629
Ga 0.4056 0.2629 0.3343
Ga 0.4287 0.6657 0.0714
Ga 0.2629 0.4056 0.8343
Ga 0.8573 0.2629 0.4287
Ga 0.7371 0.1427 0.0713
Ga 0.4056 0.1427 0.5714
Ga 0.0944 0.1657 0.2371
Ga 0.3573 0.4286 0.0944
Se 0.1250 0.3750 0.2500
Se 0.1250 0.7500 0.3750
Se 0.8750 0.6250 0.7500
Se 0.5000 0.5000 0.5000
Se 0.0000 0.0000 0.0000
Se 0.2500 0.3750 0.6250
Se 0.8750 0.2500 0.6250
Se 0.3750 0.1250 0.7500
Se 0.3750 0.2500 0.1250
Se 0.5000 0.0000 0.0000
Se 0.7500 0.1250 0.8750
Se 0.2500 0.8750 0.1250
Se 0.5000 0.0000 0.5000
Se 0.7500 0.6250 0.3750
Se 0.5000 0.5000 0.0000
Se 0.6250 0.7500 0.8750
Se 0.0000 0.0000 0.5000
Se 0.0000 0.5000 0.0000
Se 0.6250 0.8750 0.2500
Se 0.0000 0.5000 0.5000
Zn 0.2500 0.6250 0.8750
Zn 0.7500 0.3750 0.1250
Zn 0.1250 0.2500 0.8750
Zn 0.8750 0.7500 0.1250
Zn 0.1250 0.8750 0.7500
Zn 0.6250 0.3750 0.7500
Zn 0.7500 0.8750 0.6250
Zn 0.8750 0.1250 0.2500
Zn 0.3750 0.6250 0.2500
Zn 0.3750 0.7500 0.6250
Zn 0.6250 0.2500 0.3750
Zn 0.2500 0.1250 0.3750
! - formation energy (no corrections) (kcal/mol of atoms) = -0.96
! - volume (Å³/f.u.) = 467
! - size of the total moment (μB/f.u.) = 0.00
! - theoretical density (Mg/m³) = 5.1

# 14
! CsSc2BeCo, relaxed, DFT PBE; values from VASP
&SYSTEM
  ibrav = 0, nat = 5, ntyp = 4
/
ATOMIC_SPECIES
Cs 132.91 Cs.upf
Sc 44.96 Sc.upf
Co 58.93 Co.upf
Be 9.01 Be.upf
CELL_PARAMETERS angstrom
4.9534 0.0000 0.0000
0.0000 4.6126 0.0000
0.0000 0.0000 4.9534
ATOMIC_POSITIONS crystal
Cs 0.5000 0.5000 0.5000
Sc 0.5000 0.0000 0.0000
Sc 0.0000 0.0000 0.5000
Co 0.0000 0.0000 0.0000
Be 0.0000 0.5000 0.0000
! - DFT formation energy (eV/atom) = 0.4661
! - volume (Å³/f.u.) = 113
! - size of the total moment (μB/f.u.) = 0.00
! - theoretical density (Mg/m³) = 4.3

# 15
! SrTa2Pt, relaxed, DFT PBE; values from VASP
&SYSTEM
  ibrav = 0, nat = 4, ntyp = 3
/
ATOMIC_SPECIES
Sr 87.62 Sr.upf
Ta 180.95 Ta.upf
Pt 195.08 Pt.upf
CELL_PARAMETERS angstrom
-2.4526 3.1565 4.2124
-2.9803 -1.8526 -4.6269
-0.6824 -2.3983 1.3998
ATOMIC_POSITIONS crystal
Sr 0.0000 0.5000 0.5000
Ta 0.0000 0.0000 0.0000
Ta 0.5000 0.5000 0.0000
Pt 0.5000 0.0000 0.5000
! - DFT formation energy (eV/atom) = 0.5885
! - volume (Å³/f.u.) = 81
! - size of the total moment (μB/f.u.) = 0.00
! - distance to the lowest polymorph of the same formula (eV per formula unit) = 2.14
! - theoretical density (Mg/m³) = 13.1

# 16
! Sm2YHg2, relaxed, DFT PBE; values from VASP
&SYSTEM
  ibrav = 0, nat = 10, ntyp = 3
/
ATOMIC_SPECIES
Y 88.91 Y.upf
Hg 200.59 Hg.upf
Sm 150.36 Sm.upf
CELL_PARAMETERS angstrom
3.9116 0.0000 0.0000
0.0000 8.5923 0.0000
0.0000 0.0000 8.5923
ATOMIC_POSITIONS crystal
Y 0.0000 0.5000 0.5000
Y 0.0000 0.0000 0.0000
Hg 0.0000 0.3670 0.8670
Hg 0.0000 0.8670 0.6330
Hg 0.0000 0.6330 0.1330
Hg 0.0000 0.1330 0.3670
Sm 0.5000 0.1658 0.6658
Sm 0.5000 0.3342 0.1658
Sm 0.5000 0.8342 0.3342
Sm 0.5000 0.6658 0.8342
! - DFT formation energy (eV/atom) = -0.3803
! - volume (Å³/f.u.) = 144
! - size of the total moment (μB/f.u.) = 0.00
! - distance to the lowest polymorph of the same formula (eV per formula unit) = 0.03
! - theoretical density (Mg/m³) = 9.1

# 17
! AcCeEuSn, relaxed, DFT PBE; values from VASP
&SYSTEM
  ibrav = 0, nat = 4, ntyp = 4
/
ATOMIC_SPECIES
Sn 118.71 Sn.upf
Ac 227.00 Ac.upf
Eu 151.96 Eu.upf
Ce 140.12 Ce.upf
CELL_PARAMETERS angstrom
-3.6039 -4.3281 0.8452
1.7685 -4.6923 2.6999
-1.8897 -1.1486 5.2483
ATOMIC_POSITIONS crystal
Sn 0.2500 0.2500 0.2500
Ac 0.7500 0.7500 0.7500
Eu 0.0000 0.0000 0.0000
Ce 0.5000 0.5000 0.5000
! - DFT formation energy (eV/atom) = -0.1241
! - volume (Å³/f.u.) = 131
! - size of the total moment (μB/f.u.) = 9.52
! - theoretical density (Mg/m³) = 8.1

# 18
! La4IrPtI2, relaxed, DFT PBE; values from VASP
&SYSTEM
  ibrav = 0, nat = 8, ntyp = 4
/
ATOMIC_SPECIES
Ir 192.22 Ir.upf
I 126.90 I.upf
Pt 195.08 Pt.upf
La 138.91 La.upf
CELL_PARAMETERS angstrom
4.2921 0.0000 0.0000
0.0000 7.4485 0.1206
0.0000 -2.6221 8.1981
ATOMIC_POSITIONS crystal
Ir 0.5000 0.5000 0.0000
I 0.5000 0.0000 0.5000
I 0.0000 0.5000 0.5000
Pt 0.0000 0.0000 0.0000
La 0.5000 0.7644 0.8139
La 0.0000 0.2778 0.8140
La 0.0000 0.7222 0.1860
La 0.5000 0.2356 0.1861
! - formation energy (no corrections) (kcal/mol of atoms) = -27.06
! - volume (Å³/f.u.) = 263
! - size of the total moment (μB/f.u.) = 0.00
! - theoretical density (Mg/m³) = 7.5

# 19
! Ni2MoI, relaxed, DFT PBE; values from VASP
&SYSTEM
  ibrav = 0, nat = 8, ntyp = 3
/
ATOMIC_SPECIES
Ni 58.69 Ni.upf
I 126.90 I.upf
Mo 95.94 Mo.upf
CELL_PARAMETERS angstrom
-5.6557 2.8735 2.8756
1.6919 -2.8162 6.1416
-0.5678 2.2036 5.1164
ATOMIC_POSITIONS crystal
Ni 0.1266 0.6250 0.2500
Ni 0.6234 0.1250 0.2500
Ni 0.8750 0.8734 0.7500
Ni 0.3750 0.3766 0.7500
I 0.7500 0.2500 0.5000
I 0.0000 0.0000 0.0000
Mo 0.2500 0.7500 0.5000
Mo 0.5000 0.5000 0.0000
! - formation energy (no corrections) (kcal/mol of atoms) = 17.61
! - volume (Å³/f.u.) = 65
! - size of the total moment (μB/f.u.) = 0.00
! - distance to the lowest polymorph of the same formula (eV per formula unit) = 0.00
! - theoretical density (Mg/m³) = 8.7

# 20
! Rb4Na3Au, relaxed, DFT PBE; values from VASP
&SYSTEM
  ibrav = 0, nat = 8, ntyp = 3
/
ATOMIC_SPECIES
Na 22.99 Na.upf
Rb 85.47 Rb.upf
Au 196.97 Au.upf
CELL_PARAMETERS angstrom
-3.4337 2.9890 2.8665
-2.5748 -4.5602 1.6708
9.0445 -0.8228 11.6922
ATOMIC_POSITIONS crystal
Na 0.0000 0.0000 0.4234
Na 0.0000 0.5000 0.5620
Na 0.5000 0.0000 0.9601
Rb 0.5000 0.5000 0.3087
Rb 0.0000 0.0000 0.1346
Rb 0.0000 0.5000 0.8862
Rb 0.5000 0.0000 0.6661
Au 0.5000 0.5000 0.0589
! - DFT formation energy (eV/atom) = -0.0430
! - volume (Å³/f.u.) = 438
! - size of the total moment (μB/f.u.) = 0.00
! - theoretical density (Mg/m³) = 2.3